RbS6N2 after structural relaxation. Source: Alexandria, functional GGA-PBE.

Results
- Magnetic moment: 0.00 μB/f.u.
- V: 250 Å³/f.u.
- Formation energy (no corrections): 0.25 eV per atom
- DOS(E_F): 0.486 states/eV per atom

abc: 6.641 7.699 7.699
angles: 49.15 60.50 60.51
Sites, in units of the cell vectors:
N  0.235  0.273  0.273
N  0.765  0.727  0.727
Rb  0.000  0.000  0.000
S  0.500  0.157  0.843
S  0.371  0.997  0.446
S  0.629  0.554  0.003
S  0.500  0.843  0.157
S  0.371  0.446  0.997
S  0.629  0.003  0.554

***

RbS2N2 after structural relaxation. Source: Alexandria, functional GGA-PBE.

Results
- Magnetic moment: 9.00 μB/f.u.
- ΔE to the lowest computed polymorph: 2113 meV/atom
- V: 283 Å³/f.u.
- Formation energy (no corrections): 2.56 eV per atom
- DOS(E_F): 1.417 states/eV per atom

abc: 6.694 6.694 6.305
angles: 90.00 90.00 90.00
Sites, in units of the cell vectors:
N  0.500  0.500  0.500
N  0.000  0.000  0.500
S  0.000  0.500  0.000
S  0.500  0.000  0.000
Rb  0.000  0.000  0.000

***

RbSN2 after structural relaxation. Source: Alexandria, functional GGA-PBE.

Results
- Magnetic moment: 0.00 μB/f.u.
- V: 63 Å³/f.u.
- Formation energy (no corrections): 0.74 eV per atom
- DOS(E_F): 0.019 states/eV per atom

abc: 5.625 5.625 5.628
angles: 60.02 60.02 90.00
Sites, in units of the cell vectors:
N  0.375  0.649  0.750
N  0.399  0.625  0.250
N  0.875  0.601  0.750
N  0.351  0.125  0.250
S  0.500  0.500  0.000
S  0.250  0.750  0.500
Rb  0.000  0.000  0.000
Rb  0.750  0.250  0.500

***

> Which formula does entry 2 have?

RbS2N2

***

> What is the V in the second record?

283 Å³/f.u.

***

> The highest DOS(E_F) belongs to which entry?

RbS2N2

***

> Which of these has the lowest V?

RbSN2